# 1
PBE-GGA Tb2Fe3Ge5, optimized geometry; magnetic moment = 0.0 μB/f.u.
1.0
-4.792 6.044 2.816
4.792 -6.044 2.816
4.792 6.044 -2.816
Fe Ge Tb
6 10 4
Direct
0.250 0.250 0.000 Fe
0.750 0.750 0.000 Fe
0.354 0.910 0.264 Fe
0.854 0.590 0.445 Fe
0.146 0.410 0.555 Fe
0.646 0.090 0.736 Fe
0.413 0.676 0.089 Ge
0.461 0.250 0.211 Ge
0.961 0.750 0.211 Ge
0.087 0.176 0.263 Ge
0.750 0.250 0.500 Ge
0.250 0.750 0.500 Ge
0.913 0.824 0.737 Ge
0.039 0.250 0.789 Ge
0.539 0.750 0.789 Ge
0.587 0.324 0.911 Ge
0.859 0.269 0.128 Tb
0.641 0.769 0.410 Tb
0.359 0.231 0.590 Tb
0.141 0.731 0.872 Tb

# 2
PBE-GGA Tb2TmS3, optimized geometry; magnetic moment = 0.0 μB/f.u.
1.0
-1.142 0.491 -3.685
3.700 -0.905 0.785
-2.152 -9.293 -0.572
S Tb Tm
3 2 1
Direct
0.000 0.000 0.000 S
0.667 0.333 0.340 S
0.333 0.667 0.660 S
0.333 0.667 0.168 Tb
0.667 0.333 0.832 Tb
0.000 0.000 0.500 Tm

# 3
PBE-GGA SrBAu, optimized geometry; offset from the most stable computed form = 565 meV/atom
1.0
0.000 3.439 3.439
3.439 0.000 3.439
3.439 3.439 0.000
Au B Sr
1 1 1
Direct
0.250 0.250 0.250 Au
0.750 0.750 0.750 B
0.000 0.000 0.000 Sr

# 4
PBE-GGA K2NiGeCl6, optimized geometry; magnetic moment = 1.7 μB/f.u.
1.0
2.741 1.774 6.250
-2.038 -3.394 5.835
4.454 -4.382 3.267
Cl Ge K Ni
6 1 2 1
Direct
0.741 0.259 0.259 Cl
0.259 0.741 0.259 Cl
0.741 0.741 0.259 Cl
0.259 0.259 0.741 Cl
0.741 0.259 0.741 Cl
0.259 0.741 0.741 Cl
0.000 0.000 0.000 Ge
0.250 0.250 0.250 K
0.750 0.750 0.750 K
0.500 0.500 0.500 Ni

| no. | DFT total energy (eV per atom) | calculated density (Mg/m³) |
| --- | --- | --- |
| 1 | -6.212 | 8.637 |
| 2 | -6.337 | 7.733 |
| 3 | -2.839 | 6.031 |
| 4 | -3.522 | 2.828 |